Below is a relaxed structure of Cu3SbF, with properties calculated at the GGA-PBEsol level.

## Properties
* E_tot: -0.1237 hartree per atom
* mass density: 5.1 g/cm3
* V: 21.7 Å³ per atom
* space-group type: Pm-3m, No. 221
* E_form (uncorrected): 0.532 eV per atom
* energy relative to the lowest polymorph listed for this composition: 11.90 kcal/mol of atoms

abc: 4.7677 4.7677 4.7677
angles: 90.00 90.00 90.00
Each line ends with the local moment (μB).
Atoms (fractional coordinates):
Sb 0.0000 0.0000 0.0000  0.04
Cu 0.0000 0.5000 0.0000  0.08
Cu 0.0000 0.0000 0.5000  0.08
Cu 0.5000 0.0000 0.0000  0.08
F 0.5000 0.5000 0.5000  0.18

---

Below is a relaxed structure of MgTl5, with properties calculated at the GGA-PBEsol level.

## Properties
* E_tot: -0.0914 hartree per atom
* mass density: 10.7 g/cm3
* formation energy from the elements: -0.008 eV/atom
* V: 27.1 Å³ per atom
* space-group type: Cm, No. 8

abc: 3.5401 6.3737 7.8431
angles: 105.97 90.00 106.12
Atoms (fractional coordinates):
Mg 0.0052 0.0104 0.0105
Tl 0.6837 0.3674 0.3506
Tl 0.3418 0.6836 0.7015
Tl 0.3901 0.7802 0.2466
Tl 0.0438 0.0875 0.5910
Tl 0.7021 0.4043 0.9332

---

Below is a relaxed structure of LaAl2Co, with properties calculated at the GGA-PBEsol level.

## Properties
* E_tot: -0.2078 hartree per atom
* mass density: 6.0 g/cm3
* formation energy from the elements: -0.339 eV/atom
* V: 17.3 Å³ per atom
* space-group type: P4/mmm, No. 123

abc: 3.0026 3.0026 7.6663
angles: 90.00 90.00 90.00
Each line ends with the local moment (μB).
Atoms (fractional coordinates):
Co 0.5000 0.5000 0.0000  0.57
Al 0.0000 0.0000 0.8262  0.00
Al 0.0000 0.0000 0.1738  0.00
La 0.5000 0.5000 0.5000  0.00

---

Below is a relaxed structure of CaTl2Pb, with properties calculated at the GGA-PBEsol level.

## Properties
* E_tot: -0.1144 hartree per atom
* mass density: 9.7 g/cm3
* formation energy from the elements: -0.265 eV/atom
* V: 28.1 Å³ per atom
* space-group type: Immm, No. 71

abc: 3.7791 5.4320 6.4027
angles: 115.10 107.16 90.00
Atoms (fractional coordinates):
Pb 0.0000 0.5000 0.0000
Tl 0.7465 0.7465 0.4929
Tl 0.2535 0.2535 0.5071
Ca 0.5000 0.0000 0.0000

---

Below is a relaxed structure of CsTcI2Cl, with properties calculated at the GGA-PBEsol level.

## Properties
* E_tot: -0.0999 hartree per atom
* mass density: 4.0 g/cm3
* V: 42.7 Å³ per atom
* space-group type: P4/mmm, No. 123
* E_form (uncorrected): 0.833 eV per atom

abc: 6.0742 5.9255 5.9255
angles: 90.00 90.00 90.00
Each line ends with the local moment (μB).
Atoms (fractional coordinates):
Cs 0.5000 0.0000 0.0000  0.01
I 0.0000 0.0000 0.5000  0.06
I 0.0000 0.5000 0.0000  0.06
Tc 0.5000 0.5000 0.5000  4.20
Cl 0.0000 0.0000 0.0000  0.00

---

Below is a relaxed structure of LiCr3B, with properties calculated at the GGA-PBEsol level.

## Properties
* E_tot: -0.2258 hartree per atom
* mass density: 5.5 g/cm3
* formation energy from the elements: 1.797 eV/atom
* V: 10.4 Å³ per atom
* space-group type: Pm-3m, No. 221

abc: 3.7325 3.7325 3.7325
angles: 90.00 90.00 90.00
Each line ends with the local moment (μB).
Atoms (fractional coordinates):
Cr 0.0000 0.5000 0.0000  0.50
Cr 0.0000 0.0000 0.5000  0.50
Cr 0.5000 0.0000 0.0000  0.50
B 0.5000 0.5000 0.5000  -0.03
Li 0.0000 0.0000 0.0000  0.04

---

Below is a relaxed structure of Sn2PbAu2, with properties calculated at the GGA-PBEsol level.

## Properties
* E_tot: -0.1514 hartree per atom
* mass density: 11.6 g/cm3
* formation energy from the elements: -0.047 eV/atom
* V: 24.0 Å³ per atom
* space-group type: I4/mmm, No. 139

abc: 4.4193 4.4193 6.8920
angles: 108.70 108.70 90.00
Atoms (fractional coordinates):
Pb 0.0000 0.0000 0.0000
Au 0.3921 0.3921 0.7843
Au 0.6079 0.6079 0.2157
Sn 0.2500 0.7500 0.5000
Sn 0.7500 0.2500 0.5000

---

Below is a relaxed structure of YZnCl2, with properties calculated at the GGA-PBEsol level.

## Properties
* E_tot: -0.1496 hartree per atom
* mass density: 4.6 g/cm3
* V: 20.2 Å³ per atom
* space-group type: Pmmm, No. 47
* E_form (uncorrected): -0.967 eV per atom
* energy relative to the lowest polymorph listed for this composition: 0.00 kcal/mol of atoms

abc: 3.6678 4.2452 5.1839
angles: 90.00 90.00 90.00
Atoms (fractional coordinates):
Y 0.5000 0.5000 0.0000
Zn 0.0000 0.5000 0.5000
Cl 0.0000 0.0000 0.0000
Cl 0.5000 0.0000 0.5000

---

no.,Fermi-level density of states (states/eV/f.u.)
1,9.361
2,2.750
3,3.086
4,1.944
5,4.531
6,4.719
7,1.947
8,2.092